VASP calculation (PBE-GGA) on a geometry-optimized ZnTcI2N structure.

**Symmetry**: P4/mmm, No. 123
**Energy above the lowest structure with this stoichiometry**: 915 meV per atom
**Formation energy without anion corrections**: 1286 meV per atom
**Magnetization**: 4.497 μB per formula unit
**Theoretical density**: 5.8 g/cm³

Unit cell a=5.7853 b=5.7853 c=3.6981 alpha=90.00 beta=90.00 gamma=90.00
Positions (direct):
N (0.0000, 0.0000, 0.5000)
Tc (0.5000, 0.5000, 0.5000)
Zn (0.0000, 0.0000, 0.0000)
I (0.5000, 0.0000, 0.0000)
I (0.0000, 0.5000, 0.0000)